The following is a DFT calculation (PBE) of a geometry-optimized PbAuSe2 structure.

a b c (Å): 7.924 7.924 7.924
angles (deg): 152.16 152.57 39.48
Sites, in units of the cell vectors:
Au1 0.500 0.500 0.000
Pb1 0.301 0.801 0.500
Se1 0.983 0.983 0.000
Se2 0.715 0.215 0.500

Results
- ΔE_f (raw) (meV/atom) = -86.8
- E (eV per atom) = -3.5755
- density of states at the Fermi level (states/eV/atom) = 0.4604
- calculated density (g/cm³) = 8.74


The following is a DFT calculation (PBE) of a geometry-optimized CeMg11Cd structure.

a b c (Å): 5.934 7.760 7.804
angles (deg): 81.78 67.65 67.91
Each line ends with the local moment (μB).
Sites, in units of the cell vectors:
Ce1 0.000 0.000 0.000  0.97
Mg1 0.288 0.214 0.212  0.00
Mg2 0.712 0.786 0.788  0.00
Mg3 0.500 0.786 0.212  0.00
Mg4 0.500 0.214 0.788  0.00
Mg5 0.351 0.647 0.651  0.00
Mg6 0.649 0.353 0.349  0.00
Mg7 0.998 0.353 0.651  0.00
Mg8 0.002 0.647 0.349  0.00
Mg9 0.000 0.500 0.000  0.00
Mg10 0.500 0.000 0.500  0.00
Mg11 0.000 0.000 0.500  0.00
Cd1 0.500 0.500 0.000  0.00

Results
- E (eV per atom) = -1.9178
- density of states at the Fermi level (states/eV/atom) = 0.9755
- calculated density (g/cm³) = 2.80
- energy of formation from the pure elements (eV per atom) = -0.04


The following is a DFT calculation (PBE) of a geometry-optimized La3SmSe4 structure.

a b c (Å): 4.256 7.426 7.426
angles (deg): 109.26 90.00 90.00
Sites, in units of the cell vectors:
La1 0.000 0.000 0.500
La2 0.500 0.500 0.500
La3 0.000 0.500 0.000
Sm1 0.500 0.000 0.000
Se1 0.000 0.243 0.243
Se2 0.500 0.754 0.246
Se3 0.000 0.757 0.757
Se4 0.500 0.246 0.754

Results
- ΔE_f (raw) (meV/atom) = -1954.3
- E (eV per atom) = -6.1342
- density of states at the Fermi level (states/eV/atom) = 0.6883
- calculated density (g/cm³) = 6.62


The following is a DFT calculation (PBE) of a geometry-optimized Be2GaAg structure.

a b c (Å): 6.799 6.799 5.427
angles (deg): 51.21 51.21 90.00
Sites, in units of the cell vectors:
Be1 0.623 0.125 0.250
Be2 0.127 0.625 0.250
Be3 0.375 0.377 0.750
Be4 0.875 0.873 0.750
Ga1 0.500 0.500 0.000
Ga2 0.250 0.750 0.500
Ag1 0.000 0.000 0.000
Ag2 0.750 0.250 0.500

Results
- E (eV per atom) = -2.7373
- density of states at the Fermi level (states/eV/atom) = 0.3441
- calculated density (g/cm³) = 5.58
- energy of formation from the pure elements (eV per atom) = 0.60